[1]
First-principles (PBE) data for an optimized crystal structure of B2TeIr, as listed in Alexandria via LeMat-Bulk.

The space group is I-42d (No. 122) and the conventional cell measures 5.144, 5.144 and 9.851 Å, with angles of 90.00, 90.00 and 90.00 degrees. Symmetry generates all atoms from B at (0.199, 0.250, 0.125), Te at (0.000, 0.000, 0.500) and Ir at (0.000, 0.000, 0.000).

The calculation puts the uncorrected formation energy at 0.4048 eV per atom. Its density of states at the Fermi level is 7.70 states/eV/cell. As for the density: 8.7 g/cm3. Its energy is -94.95 eV/cell.



[2]
First-principles (PBE) data for an optimized crystal structure of B3TeIr, as listed in Alexandria via LeMat-Bulk.

The space group is Pm-3m (No. 221) and the conventional cell measures 4.230, 4.230 and 4.230 Å, with angles of 90.00, 90.00 and 90.00 degrees. Symmetry generates all atoms from B at (0.000, 0.000, 0.500), Te at (0.500, 0.500, 0.500) and Ir at (0.000, 0.000, 0.000).

The calculation puts the uncorrected formation energy at 1.1120 eV per atom. Its density of states at the Fermi level is 3.08 states/eV/cell. As for the density: 7.7 g/cm3. Its energy is -26.47 eV/cell.



[3]
First-principles (PBE) data for an optimized crystal structure of TlBTe2Ir, as listed in Alexandria via LeMat-Bulk.

The space group is P4/mmm (No. 123) and the conventional cell measures 5.771, 5.771 and 4.038 Å, with angles of 90.00, 90.00 and 90.00 degrees. Symmetry generates all atoms from Tl at (0.000, 0.000, 0.000), B at (0.000, 0.000, 0.500), Te at (0.000, 0.500, 0.000) and Ir at (0.500, 0.500, 0.500).

The calculation puts the uncorrected formation energy at 1.8776 eV per atom. Its density of states at the Fermi level is 4.10 states/eV/cell. As for the density: 8.2 g/cm3. Its energy is -14.80 eV/cell.



[4]
First-principles (PBE) data for an optimized crystal structure of VBTe2Ir, as listed in Alexandria via LeMat-Bulk.

The space group is P4/mmm (No. 123) and the conventional cell measures 5.324, 5.324 and 4.595 Å, with angles of 90.00, 90.00 and 90.00 degrees. Symmetry generates all atoms from V at (0.000, 0.000, 0.000), B at (0.500, 0.500, 0.000), Te at (0.000, 0.500, 0.500) and Ir at (0.000, 0.000, 0.500).

The calculation puts the uncorrected formation energy at 1.5954 eV per atom. Its density of states at the Fermi level is 7.77 states/eV/cell. As for the density: 6.5 g/cm3. Its energy is -22.96 eV/cell.



[5]
First-principles (PBE) data for an optimized crystal structure of ThBIr2, as listed in Alexandria via LeMat-Bulk.

The space group is R-3m (No. 166, hexagonal axes) and the conventional cell measures 3.8938, 3.8938 and 15.8639 Å, with angles of 90.00, 90.00 and 120.00 degrees. Symmetry generates all atoms from Th at (0.0000, 0.0000, 0.0000), B at (0.0000, 0.0000, 0.5000) and Ir at (0.0000, 0.0000, 0.2115).

Its density of states at the Fermi level is 5.47 states/eV/cell. The energy of formation comes out at -0.391 eV/atom. As for the density: 15.0 g/cm3. Its energy is -100.15 eV/cell.



[6]
First-principles (PBE) data for an optimized crystal structure of Th2B2Ir5, as listed in Alexandria via LeMat-Bulk.

The space group is P4/mmm (No. 123) and the conventional cell measures 4.137, 4.137 and 8.869 Å, with angles of 90.00, 90.00 and 90.00 degrees. Symmetry generates all atoms from Th at (0.000, 0.000, 0.000), Th at (0.000, 0.000, 0.500), B at (0.500, 0.500, 0.197), Ir at (0.000, 0.500, 0.253) and Ir at (0.500, 0.500, 0.500).

Its density of states at the Fermi level is 1.83 states/eV/cell. The energy of formation comes out at -0.732 eV/atom. As for the density: 15.8 g/cm3. Its energy is -79.09 eV/cell.



[7]
First-principles (PBE) data for an optimized crystal structure of ThB2Ir3, as listed in Alexandria via LeMat-Bulk.

The space group is P6/mmm (No. 191) and the conventional cell measures 5.4949, 5.4949 and 3.2435 Å, with angles of 90.00, 90.00 and 120.00 degrees. Symmetry generates all atoms from Th at (0.0000, 0.0000, 0.0000), B at (0.3333, 0.6667, 0.0000) and Ir at (0.0000, 0.5000, 0.5000).

Its density of states at the Fermi level is 3.69 states/eV/cell. The energy of formation comes out at -0.681 eV/atom. As for the density: 16.3 g/cm3. Its energy is -51.44 eV/cell.



[8]
First-principles (PBE) data for an optimized crystal structure of Th3B7Ir, as listed in Alexandria via LeMat-Bulk.

The space group is Cmcm (No. 63) and the conventional cell measures 3.651, 16.395 and 9.679 Å, with angles of 90.00, 90.00 and 90.00 degrees. Symmetry generates all atoms from Th at (0.000, 0.105, 0.063), Th at (0.000, 0.247, 0.750), B at (0.000, 0.277, 0.033), B at (0.000, 0.367, 0.153), B at (0.000, 0.466, 0.750), B at (0.000, 0.478, 0.092) and Ir at (0.000, 0.057, 0.750).

Its density of states at the Fermi level is 19.84 states/eV/cell. The energy of formation comes out at -0.407 eV/atom. As for the density: 11.1 g/cm3. Its energy is -329.37 eV/cell.



[9]
First-principles (PBE) data for an optimized crystal structure of ThB4Ir12, as listed in Alexandria via LeMat-Bulk.

The space group is Im-3 (No. 204) and the conventional cell measures 7.884, 7.884 and 7.884 Å, with angles of 90.00, 90.00 and 90.00 degrees. Symmetry generates all atoms from Th at (0.000, 0.000, 0.000), B at (0.250, 0.250, 0.250) and Ir at (0.000, 0.326, 0.172).

Its density of states at the Fermi level is 53.51 states/eV/cell. The energy of formation comes out at 0.128 eV/atom. As for the density: 17.5 g/cm3. Its energy is -276.57 eV/cell.



[10]
First-principles (PBE) data for an optimized crystal structure of ThBIr, as listed in Alexandria via LeMat-Bulk.

The space group is P-6m2 (No. 187) and the conventional cell measures 3.7904, 3.7904 and 4.3172 Å, with angles of 90.00, 90.00 and 120.00 degrees. Symmetry generates all atoms from Th at (0.0000, 0.0000, 0.0000), B at (0.3333, 0.6667, 0.5000) and Ir at (0.6667, 0.3333, 0.5000).

Its density of states at the Fermi level is 2.14 states/eV/cell. The energy of formation comes out at -0.592 eV/atom. As for the density: 13.4 g/cm3. Its energy is -24.73 eV/cell.



[11]
First-principles (PBE) data for an optimized crystal structure of ThB2Ir5, as listed in Alexandria via LeMat-Bulk.

The space group is Immm (No. 71) and the conventional cell measures 3.974, 6.484 and 9.091 Å, with angles of 90.00, 90.00 and 90.00 degrees. Symmetry generates all atoms from Th at (0.000, 0.000, 0.000), B at (0.000, 0.500, 0.239), Ir at (0.000, 0.208, 0.349) and Ir at (0.000, 0.500, 0.000).

Its density of states at the Fermi level is 9.91 states/eV/cell. The energy of formation comes out at -0.454 eV/atom. As for the density: 17.2 g/cm3. Its energy is -137.42 eV/cell.



[12]
First-principles (PBE) data for an optimized crystal structure of ThB2Ir3, as listed in Alexandria via LeMat-Bulk.

The space group is P6/mmm (No. 191) and the conventional cell measures 9.0663, 9.0663 and 3.6471 Å, with angles of 90.00, 90.00 and 120.00 degrees. Symmetry generates all atoms from Th at (0.0000, 0.0000, 0.0000), Th at (0.3333, 0.6667, 0.5000), B at (0.1874, 0.3748, 0.0000), Ir at (0.0000, 0.2824, 0.5000) and Ir at (0.0000, 0.5000, 0.0000).

Its density of states at the Fermi level is 14.13 states/eV/cell. The energy of formation comes out at -0.375 eV/atom. As for the density: 15.9 g/cm3. Its energy is -148.83 eV/cell.



[13]
First-principles (PBE) data for an optimized crystal structure of ThB3Ir6, as listed in Alexandria via LeMat-Bulk.

The space group is P1 (No. 1) and the conventional cell measures 5.503, 5.523 and 5.988 Å, with angles of 70.06, 64.57 and 60.49 degrees. Symmetry generates all atoms from Th at (0.000, 0.000, 0.000), B at (0.093, 0.322, 0.513), B at (0.363, 0.308, 0.957), B at (0.652, 0.735, 0.952), Ir at (0.108, 0.588, 0.689), Ir at (0.375, 0.954, 0.338), Ir at (0.417, 0.471, 0.217), Ir at (0.587, 0.073, 0.655), Ir at (0.625, 0.541, 0.695) and Ir at (0.912, 0.459, 0.214).

Its density of states at the Fermi level is 6.07 states/eV/cell. The energy of formation comes out at -0.453 eV/atom. As for the density: 16.7 g/cm3. Its energy is -85.15 eV/cell.



[14]
First-principles (PBE) data for an optimized crystal structure of ThB3Ir3, as listed in Alexandria via LeMat-Bulk.

The space group is P6_3/m (No. 176) and the conventional cell measures 7.9893, 7.9893 and 3.6999 Å, with angles of 90.00, 90.00 and 120.00 degrees. Symmetry generates all atoms from Th at (0.3333, 0.6667, 0.2500), B at (0.0504, 0.4222, 0.7500) and Ir at (0.0696, 0.7294, 0.7500).

Its density of states at the Fermi level is 6.93 states/eV/cell. The energy of formation comes out at -0.348 eV/atom. As for the density: 13.7 g/cm3. Its energy is -112.94 eV/cell.



[15]
First-principles (PBE) data for an optimized crystal structure of Th2B7Ir12, as listed in Alexandria via LeMat-Bulk.

The space group is P-6 (No. 174) and the conventional cell measures 9.0525, 9.0525 and 3.9492 Å, with angles of 90.00, 90.00 and 120.00 degrees. Symmetry generates all atoms from Th at (0.0000, 0.0000, 0.0000), Th at (0.3333, 0.6667, 0.5000), B at (0.0945, 0.4399, 0.0000), B at (0.2728, 0.2228, 0.5000), B at (0.6667, 0.3333, 0.0000), Ir at (0.0608, 0.2802, 0.5000), Ir at (0.0920, 0.6889, 0.0000), Ir at (0.4034, 0.1643, 0.0000) and Ir at (0.5335, 0.4142, 0.5000).

Its density of states at the Fermi level is 6.61 states/eV/cell. The energy of formation comes out at -0.434 eV/atom. As for the density: 16.9 g/cm3. Its energy is -177.02 eV/cell.



[16]
First-principles (PBE) data for an optimized crystal structure of ThB6Ir12, as listed in Alexandria via LeMat-Bulk.

The space group is R-3m (No. 166, hexagonal axes) and the conventional cell measures 10.3634, 10.3634 and 8.1025 Å, with angles of 90.00, 90.00 and 120.00 degrees. Symmetry generates all atoms from Th at (0.0000, 0.0000, 0.0000), B at (0.0447, 0.5224, 0.2936), Ir at (0.0000, 0.3641, 0.5000) and Ir at (0.0862, 0.1723, 0.3570).

Its density of states at the Fermi level is 41.28 states/eV/cell. The energy of formation comes out at -0.303 eV/atom. As for the density: 17.2 g/cm3. Its energy is -478.70 eV/cell.



[17]
First-principles (PBE) data for an optimized crystal structure of ThBIr4, as listed in Alexandria via LeMat-Bulk.

The space group is I4_1/amd (No. 141, origin choice 2) and the conventional cell measures 5.012, 5.012 and 17.808 Å, with angles of 90.00, 90.00 and 90.00 degrees. Symmetry generates all atoms from Th at (0.000, 0.250, 0.375), B at (0.000, 0.250, 0.875) and Ir at (0.000, 0.001, 0.780).

Its density of states at the Fermi level is 24.46 states/eV/cell. The energy of formation comes out at 0.056 eV/atom. As for the density: 15.0 g/cm3. Its energy is -196.83 eV/cell.



[18]
First-principles (PBE) data for an optimized crystal structure of ThB3Ir3, as listed in Alexandria via LeMat-Bulk.

The space group is Pm-3n (No. 223) and the conventional cell measures 5.927, 5.927 and 5.927 Å, with angles of 90.00, 90.00 and 90.00 degrees. Symmetry generates all atoms from Th at (0.000, 0.000, 0.000), B at (0.000, 0.250, 0.500) and Ir at (0.000, 0.500, 0.250).

Its density of states at the Fermi level is 9.86 states/eV/cell. The energy of formation comes out at -0.364 eV/atom. As for the density: 13.4 g/cm3. Its energy is -113.17 eV/cell.



[19]
First-principles (PBE) data for an optimized crystal structure of ThBIr, as listed in Alexandria via LeMat-Bulk.

The space group is Cm (No. 8) and the conventional cell measures 6.383, 3.684 and 9.406 Å, with angles of 90.00, 102.99 and 90.00 degrees. Symmetry generates all atoms from Th at (0.000, 0.000, 0.000), Th at (0.164, 0.000, 0.494), B at (0.246, 0.500, 0.240), B at (0.267, 0.000, 0.800), Ir at (0.080, 0.500, 0.739) and Ir at (0.417, 0.000, 0.252).

Its density of states at the Fermi level is 8.23 states/eV/cell. The energy of formation comes out at -0.584 eV/atom. As for the density: 13.4 g/cm3. Its energy is -98.84 eV/cell.



[20]
First-principles (PBE) data for an optimized crystal structure of TiBIr, as listed in Alexandria via LeMat-Bulk.

The space group is Cmcm (No. 63) and the conventional cell measures 3.413, 14.060 and 2.978 Å, with angles of 90.00, 90.00 and 90.00 degrees. Symmetry generates all atoms from Ti at (0.000, 0.090, 0.250), B at (0.000, 0.467, 0.250) and Ir at (0.000, 0.309, 0.250).

Its density of states at the Fermi level is 8.65 states/eV/cell. The energy of formation comes out at -0.725 eV/atom. As for the density: 11.7 g/cm3. Its energy is -102.43 eV/cell.